# 1
The following is a PBE calculation of a relaxed structure of MnBi, from Alexandria.

Cell: 7.813 7.813 7.813 Å, 90.00 90.00 90.00°
Space group Pm-3n (No. 223)
Inequivalent atoms, fractional coordinates:
Mn: 0.000 0.250 0.500
Bi: 0.000 0.500 0.250

Calculated values
formation energy: 1.34 eV per formula unit

# 2
The following is a PBE calculation of a relaxed structure of Ba2Mg3Cu2, from Alexandria.

Cell: 11.887 4.450 8.407 Å, 90.00 118.15 90.00°
Space group C2/m (No. 12)
Inequivalent atoms, fractional coordinates:
Ba: 0.137 0.000 0.272
Mg: 0.000 0.500 0.500
Mg: 0.148 0.500 0.927
Cu: 0.137 0.000 0.716

Calculated values
formation energy: -0.40 eV per formula unit

# 3
The following is a PBE calculation of a relaxed structure of Pm6Ho4Mg, from Alexandria.

Cell: 6.539 6.539 17.153 Å, 90.00 90.00 90.00°
Space group I-42m (No. 121)
Inequivalent atoms, fractional coordinates:
Pm: 0.000 0.500 0.000
Pm: 0.173 0.173 0.134
Ho: 0.182 0.182 0.328
Mg: 0.000 0.000 0.500

Calculated values
formation energy: 2.97 eV per formula unit

# 4
The following is a PBE calculation of a relaxed structure of Dy2SnRh, from Alexandria.

Cell: 6.251 3.919 8.615 Å, 90.00 109.27 90.00°
Space group P2_1/m (No. 11)
Inequivalent atoms, fractional coordinates:
Dy: 0.170 0.250 0.392
Dy: 0.254 0.750 0.046
Sn: 0.377 0.750 0.703
Rh: 0.118 0.250 0.797

Calculated values
formation energy: -3.19 eV per formula unit

# 5
The following is a PBE calculation of a relaxed structure of PmY2PuS4, from Alexandria.

Cell: 6.856 3.940 6.869 Å, 90.00 109.20 90.00°
Space group P2/m (No. 10)
Inequivalent atoms, fractional coordinates:
Pm: 0.000 0.000 0.000
Y: 0.000 0.500 0.500
Y: 0.500 0.000 0.500
Pu: 0.500 0.500 0.000
S: 0.251 0.000 0.745
S: 0.256 0.500 0.258

Calculated values
raw formation energy: -1.971 eV/atom

# 6
The following is a PBE calculation of a relaxed structure of LiCaCu, from Alexandria.

Cell: 6.694 6.694 6.694 Å, 90.00 90.00 90.00°
Space group F-43m (No. 216)
Inequivalent atoms, fractional coordinates:
Li: 0.000 0.000 0.000
Ca: 0.000 0.000 0.500
Cu: 0.250 0.250 0.750

Calculated values
formation energy: 0.24 eV per formula unit
relative energy among the computed polymorphs: 157.0 meV per atom

# 7
The following is a PBE calculation of a relaxed structure of LuHf2Al, from Alexandria.

Cell: 4.414 4.414 4.424 Å, 90.00 90.00 90.00°
Space group P4/mmm (No. 123)
Inequivalent atoms, fractional coordinates:
Lu: 0.000 0.000 0.000
Hf: 0.000 0.500 0.500
Al: 0.500 0.500 0.000

Calculated values
formation energy: -0.60 eV per formula unit
relative energy among the computed polymorphs: 0.0 meV per atom

# 8
The following is a PBE calculation of a relaxed structure of BaZrTiZn2, from Alexandria.

Cell: 5.037 5.037 5.351 Å, 90.00 90.00 90.00°
Space group P4/mmm (No. 123)
Inequivalent atoms, fractional coordinates:
Ba: 0.000 0.000 0.000
Zr: 0.500 0.500 0.000
Ti: 0.000 0.000 0.500
Zn: 0.000 0.500 0.500

Calculated values
formation energy: 5.21 eV per formula unit

Sequential density output: 5.51, 4.02, 7.04, 9.11, 6.59, 2.45, 10.76, 4.98 g/cm3
Sequential calculated total energy output: -5.857, -2.460, -4.131, -5.936, -8.036, -2.590, -7.193, -3.141 eV per atom